# 1
Computed, not measured: a relaxed structure of Sm7Tm12Pu at the PBE level of DFT.

abc: 10.1795 9.6321 8.7781
angles: 56.35 73.99 61.93
Each line ends with the local moment (μB).
Element x y z (fractional)
Tm: 0.5103 0.2050 0.3796  -0.04
Tm: 0.6610 0.3473 0.9491  0.05
Tm: 0.0110 0.4011 0.8823  0.10
Sm: 0.3618 0.0948 0.8059  0.01
Tm: 0.3301 0.3221 0.0214  -0.04
Tm: 0.1680 0.1692 0.4839  0.00
Tm: 0.9890 0.5989 0.1177  0.10
Tm: 0.3390 0.6527 0.0509  0.05
Tm: 0.8437 0.4561 0.5557  0.04
Tm: 0.4897 0.7950 0.6204  -0.04
Sm: 0.6382 0.9052 0.1941  0.01
Sm: 0.5000 0.5000 0.5000  -0.03
Sm: 0.8571 0.2442 0.3076  -0.02
Tm: 0.1563 0.5439 0.4443  0.04
Tm: 0.6699 0.6779 0.9786  -0.04
Sm: 0.1429 0.7558 0.6924  -0.02
Sm: 0.2405 0.9494 0.2468  0.03
Tm: 0.8320 0.8308 0.5161  0.00
Sm: 0.7595 0.0506 0.7532  0.03
Pu: 0.0000 0.0000 0.0000  5.62

## Properties
Total magnetization (μB/f.u.): 6.46
Total DFT energy (no corrections) (eV/atom): -4.96
E_form (meV/atom): 90

=====

# 2
Computed, not measured: a relaxed structure of Sm2Tm12Pu at the PBE level of DFT.

abc: 6.5514 6.5514 24.4444
angles: 83.44 96.56 64.33
Each line ends with the local moment (μB).
Element x y z (fractional)
Tm: 0.6044 0.3955 0.8080  -0.06
Tm: 0.6477 0.8523 0.8657  0.01
Sm: 0.5402 0.9598 0.7205  0.00
Sm: 0.0402 0.4598 0.7205  0.00
Tm: 0.1806 0.3194 0.5729  0.01
Tm: 0.8523 0.6477 0.1343  0.01
Tm: 0.1668 0.8331 0.5551  0.00
Tm: 0.1477 0.3523 0.8658  0.01
Sm: 0.4598 0.0402 0.2795  0.00
Sm: 0.9598 0.5402 0.2795  0.00
Tm: 0.3523 0.1477 0.1342  0.01
Tm: 0.8956 0.1045 0.1920  -0.06
Tm: 0.3194 0.1806 0.4271  0.01
Tm: 0.3332 0.6669 0.4449  0.00
Tm: 0.0027 0.9973 0.6700  0.00
Tm: 0.3955 0.6044 0.1920  -0.06
Tm: 0.1045 0.8956 0.8080  -0.06
Tm: 0.8196 0.6804 0.4272  0.01
Tm: 0.5027 0.4973 0.6700  0.00
Pu: 0.0000 0.5000 0.0000  5.43
Tm: 0.9491 0.0509 0.9337  0.07
Tm: 0.6804 0.8196 0.5728  0.01
Tm: 0.5509 0.4491 0.0663  0.07
Pu: 0.5000 0.0000 0.0000  5.43
Tm: 0.9973 0.0027 0.3300  0.00
Tm: 0.4491 0.5509 0.9337  0.07
Tm: 0.6669 0.3332 0.5551  0.00
Tm: 0.8331 0.1668 0.4449  0.00
Tm: 0.0509 0.9491 0.0663  0.07
Tm: 0.4973 0.5027 0.3300  0.00

## Properties
Total magnetization (μB/f.u.): 5.86
Total DFT energy (no corrections) (eV/atom): -5.03
E_form (meV/atom): 134

=====

# 3
Computed, not measured: a relaxed structure of Sm6Tm3Pu at the PBE level of DFT.

abc: 5.5784 9.9971 12.2221
angles: 90.00 103.92 90.00
Each line ends with the local moment (μB).
Element x y z (fractional)
Sm: 0.0020 0.3144 0.0000  0.01
Tm: 0.4496 0.1671 0.8658  0.01
Pu: 0.5000 0.5000 0.5000  5.47
Tm: 0.5000 0.5000 0.0000  -0.07
Pu: 0.0000 0.0000 0.0000  5.47
Tm: 0.0504 0.6671 0.6342  0.01
Sm: 0.6399 0.5018 0.7606  0.03
Sm: 0.9980 0.6856 0.0000  0.01
Sm: 0.5639 0.1707 0.1482  -0.04
Sm: 0.4361 0.8293 0.8518  -0.04
Sm: 0.3601 0.4982 0.2394  0.03
Sm: 0.1399 0.9982 0.2606  0.03
Sm: 0.9361 0.6707 0.3518  -0.04
Tm: 0.9496 0.3329 0.3658  0.01
Tm: 0.0000 0.0000 0.5000  -0.07
Tm: 0.5504 0.8329 0.1342  0.01
Sm: 0.5020 0.1856 0.5000  0.01
Sm: 0.4980 0.8144 0.5000  0.01
Sm: 0.0639 0.3293 0.6482  -0.04
Sm: 0.8601 0.0018 0.7394  0.03

## Properties
Total magnetization (μB/f.u.): 5.66
Total DFT energy (no corrections) (eV/atom): -5.37
E_form (meV/atom): 234

=====

# 4
Computed, not measured: a relaxed structure of Sm3Tm3Pu at the PBE level of DFT.

abc: 6.6795 6.6806 12.1487
angles: 73.89 74.02 59.93
Each line ends with the local moment (μB).
Element x y z (fractional)
Sm: 0.8824 0.5289 0.3753  -0.01
Tm: 0.2984 0.7569 0.1166  0.24
Sm: 0.1176 0.4711 0.6247  -0.01
Tm: 0.1733 0.7042 0.8833  0.24
Sm: 0.5263 0.2139 0.3762  -0.01
Sm: 0.7879 0.1151 0.6244  -0.01
Sm: 0.2121 0.8849 0.3756  -0.01
Tm: 0.2416 0.1745 0.8848  0.24
Tm: 0.7584 0.8255 0.1152  0.24
Sm: 0.4737 0.7861 0.6238  -0.01
Tm: 0.7016 0.2431 0.8834  0.24
Pu: 0.7136 0.7140 0.8599  5.55
Tm: 0.8267 0.2958 0.1167  0.24
Pu: 0.2864 0.2860 0.1401  5.55

## Properties
Total magnetization (μB/f.u.): 6.53
Total DFT energy (no corrections) (eV/atom): -5.85
E_form (meV/atom): 140

=====

What did the fourth record say?
Computed, not measured: a relaxed structure of Sm3Tm3Pu at the PBE level of DFT.

abc: 6.6795 6.6806 12.1487
angles: 73.89 74.02 59.93
Each line ends with the local moment (μB).
Element x y z (fractional)
Sm: 0.8824 0.5289 0.3753  -0.01
Tm: 0.2984 0.7569 0.1166  0.24
Sm: 0.1176 0.4711 0.6247  -0.01
Tm: 0.1733 0.7042 0.8833  0.24
Sm: 0.5263 0.2139 0.3762  -0.01
Sm: 0.7879 0.1151 0.6244  -0.01
Sm: 0.2121 0.8849 0.3756  -0.01
Tm: 0.2416 0.1745 0.8848  0.24
Tm: 0.7584 0.8255 0.1152  0.24
Sm: 0.4737 0.7861 0.6238  -0.01
Tm: 0.7016 0.2431 0.8834  0.24
Pu: 0.7136 0.7140 0.8599  5.55
Tm: 0.8267 0.2958 0.1167  0.24
Pu: 0.2864 0.2860 0.1401  5.55

## Properties
Total magnetization (μB/f.u.): 6.53
Total DFT energy (no corrections) (eV/atom): -5.85
E_form (meV/atom): 140